No. 1
Here is Na3CuGe4 after structural relaxation from the Alexandria database. Energies are from PBE.

CIF file:
```
data_Na3CuGe4
_cell_length_a 5.883
_cell_length_b 10.939
_cell_length_c 5.794
_cell_angle_alpha 90.00
_cell_angle_beta 90.00
_cell_angle_gamma 90.00
_space_group_name_H-M_alt 'P m m n'
_space_group_IT_number 59
loop_
_space_group_symop_operation_xyz
'x,y,z'
'-x,-y,-z'
'-x+1/2,-y+1/2,z'
'x+1/2,y+1/2,-z'
'x+1/2,-y,-z'
'-x+1/2,y,z'
'-x,y+1/2,-z'
'x,-y+1/2,z'
loop_
_atom_site_label
_atom_site_fract_x
_atom_site_fract_y
_atom_site_fract_z
_atom_site_occupancy
Na1 0.250 0.003 0.171 1
Na2 0.250 0.250 0.549 1
Cu1 0.250 0.750 0.314 1
Ge1 0.005 0.750 0.964 1
Ge2 0.250 0.626 0.672 1
```

Output
Calculated volume   23.3 Å³/atom
Electronic total energy   -3.449 eV per atom



No. 2
Here is MnTeSN2 after structural relaxation from the Alexandria database. Energies are from PBE.

CIF file:
```
data_MnTeSN2
_cell_length_a 3.628
_cell_length_b 3.628
_cell_length_c 7.237
_cell_angle_alpha 90.00
_cell_angle_beta 90.00
_cell_angle_gamma 90.00
_space_group_name_H-M_alt 'P 4/m m m'
_space_group_IT_number 123
_space_group_name_Hall '-P 4 2'
loop_
_atom_site_label
_atom_site_fract_x
_atom_site_fract_y
_atom_site_fract_z
_atom_site_occupancy
Mn1 0.000 0.000 0.000 1
Te1 0.500 0.500 0.000 1
S1 0.500 0.500 0.500 1
N1 0.000 0.500 0.500 1
```

Output
Raw formation energy   1.480 eV per atom
Calculated volume   19.1 Å³/atom
Electronic total energy   -5.138 eV per atom
E above lowest polymorph   4.031 eV per formula unit



No. 3
Here is KZrPb2 after structural relaxation from the Alexandria database. Energies are from PBE.

CIF file:
```
data_KZrPb2
_cell_length_a 4.547
_cell_length_b 4.547
_cell_length_c 11.107
_cell_angle_alpha 90.00
_cell_angle_beta 90.00
_cell_angle_gamma 90.00
_space_group_name_H-M_alt 'I -4 m 2'
_space_group_IT_number 119
_space_group_name_Hall 'I -4 -2'
loop_
_atom_site_label
_atom_site_fract_x
_atom_site_fract_y
_atom_site_fract_z
_atom_site_occupancy
K1 0.000 0.000 0.000 1
Zr1 0.000 0.500 0.250 1
Pb1 0.000 0.000 0.500 1
Pb2 0.000 0.500 0.750 1
```

Output
Calculated volume   28.7 Å³/atom
Electronic total energy   -3.978 eV per atom
E above lowest polymorph   1.756 eV per formula unit



No. 4
Here is Sc5GeSe4 after structural relaxation from the Alexandria database. Energies are from PBE.

CIF file:
```
data_Sc5GeSe4
_cell_length_a 8.703
_cell_length_b 8.703
_cell_length_c 5.469
_cell_angle_alpha 90.00
_cell_angle_beta 90.00
_cell_angle_gamma 90.00
_space_group_name_H-M_alt 'I 4/m'
_space_group_IT_number 87
_space_group_name_Hall '-I 4'
loop_
_atom_site_label
_atom_site_fract_x
_atom_site_fract_y
_atom_site_fract_z
_atom_site_occupancy
Sc1 0.000 0.000 0.000 1
Sc2 0.097 0.290 0.500 1
Ge1 0.000 0.000 0.500 1
Se1 0.097 0.302 0.000 1
```

Output
Raw formation energy   -1.494 eV per atom
Calculated volume   20.7 Å³/atom
Electronic total energy   -6.516 eV per atom